# In3Cu2

Crystalline In3Cu2 at its relaxed geometry (PBE, the Alexandria database).

Values from the calculation:
Its electronic total energy is -3.14 eV per atom. Its symmetry is R-3m (166). For the energy of formation from the pure elements, the calculation gives 0.685 eV/f.u. For the calculated density, the calculation gives 7.784 Mg/m³.

abc: 10.8365 10.8365 10.8365
angles: 17.52 17.52 17.52
Sites, in units of the cell vectors:
1 In 0.0000 0.0000 0.0000
2 In 0.2078 0.2078 0.2078
3 In 0.7922 0.7922 0.7922
4 Cu 0.3964 0.3964 0.3964
5 Cu 0.6036 0.6036 0.6036

# InCu

Crystalline InCu at its relaxed geometry (PBE, the Alexandria database).

Values from the calculation:
Its electronic total energy is -3.12 eV per atom. Its symmetry is Fd-3m (227). For the energy of formation from the pure elements, the calculation gives 0.600 eV/f.u. For the calculated density, the calculation gives 8.049 Mg/m³.

abc: 4.7039 4.7039 4.7039
angles: 60.00 60.00 60.00
Sites, in units of the cell vectors:
1 In 0.1250 0.1250 0.1250
2 In 0.8750 0.8750 0.8750
3 Cu 0.3750 0.3750 0.3750
4 Cu 0.6250 0.6250 0.6250

# InCu

Crystalline InCu at its relaxed geometry (PBE, the Alexandria database).

Values from the calculation:
Its electronic total energy is -3.27 eV per atom. Its symmetry is Fddd (70). For the energy of formation from the pure elements, the calculation gives 0.287 eV/f.u. For the calculated density, the calculation gives 7.715 Mg/m³.

abc: 6.7574 6.4024 5.3829
angles: 69.35 62.45 48.20
Sites, in units of the cell vectors:
1 In 0.0728 0.6772 0.0728
2 In 0.3228 0.9272 0.3228
3 In 0.6772 0.0728 0.6772
4 In 0.9272 0.3228 0.9272
5 Cu 0.1979 0.5521 0.5521
6 Cu 0.4479 0.8021 0.8021
7 Cu 0.5521 0.1979 0.1979
8 Cu 0.8021 0.4479 0.4479